[1]
! FeAgBr2 (PBE, optimized geometry); values from VASP
&SYSTEM
  ibrav = 0, nat = 4, ntyp = 3
/
ATOMIC_SPECIES
Br 79.90 Br.upf
Ag 107.87 Ag.upf
Fe 55.84 Fe.upf
ATOMIC_POSITIONS crystal
Br 0.2500 0.2500 0.2500
Br 0.7500 0.7500 0.7500
Ag 0.5000 0.5000 0.5000
Fe 0.0000 0.0000 0.0000
CELL_PARAMETERS angstrom
-0.3221 3.3157 3.6017
0.9867 4.7182 -0.9138
-3.6264 3.3044 -0.0248
! E above lowest polymorph: 325.2 meV per atom
! E_form (uncorrected): 0.298 eV per atom
! Density of states at the Fermi level: 3.39 states/eV/cell
! Electronic total energy: -3.3668 eV/atom


[2]
! KNaGeF6 (PBE, optimized geometry); values from VASP
&SYSTEM
  ibrav = 0, nat = 9, ntyp = 4
/
ATOMIC_SPECIES
K 39.10 K.upf
Na 22.99 Na.upf
Ge 72.64 Ge.upf
F 19.00 F.upf
ATOMIC_POSITIONS crystal
K 0.0000 0.3333 0.6667
Na 0.5000 0.6667 0.3333
Ge 0.5000 0.0000 0.0000
F 0.6947 0.7385 0.7291
F 0.6947 0.2709 0.0094
F 0.6947 0.9906 0.2615
F 0.3053 0.2709 0.2615
F 0.3053 0.7385 0.0094
F 0.3053 0.9906 0.7291
CELL_PARAMETERS angstrom
-0.6507 1.3397 5.1691
5.4229 -1.3010 1.0198
-1.4089 5.2701 -1.5432
! E_form (uncorrected): -2.732 eV per atom
! Density of states at the Fermi level: 0.00 states/eV/cell
! Electronic total energy: -4.7608 eV/atom


[3]
! Ho3Se3N (PBE, optimized geometry); values from VASP
&SYSTEM
  ibrav = 0, nat = 28, ntyp = 3
/
ATOMIC_SPECIES
Ho 164.93 Ho.upf
Se 78.96 Se.upf
N 14.01 N.upf
ATOMIC_POSITIONS crystal
Ho 0.7500 0.9555 0.8508
Ho 0.2500 0.5445 0.3508
Ho 0.2500 0.0445 0.1492
Ho 0.7500 0.4555 0.6492
Ho 0.7500 0.9414 0.3657
Ho 0.2500 0.5586 0.8657
Ho 0.2500 0.0586 0.6343
Ho 0.7500 0.4414 0.1343
Ho 0.7500 0.8004 0.1444
Ho 0.2500 0.6996 0.6444
Ho 0.2500 0.1996 0.8556
Ho 0.7500 0.3004 0.3556
Se 0.7500 0.7223 0.8134
Se 0.2500 0.7777 0.3134
Se 0.2500 0.2777 0.1866
Se 0.7500 0.2223 0.6866
Se 0.7500 0.1292 0.9929
Se 0.2500 0.3708 0.4929
Se 0.2500 0.8708 0.0071
Se 0.7500 0.6292 0.5071
Se 0.7500 0.9008 0.6006
Se 0.2500 0.5992 0.1006
Se 0.2500 0.0992 0.3994
Se 0.7500 0.4008 0.8994
N 0.7500 0.9671 0.2031
N 0.2500 0.5329 0.7031
N 0.2500 0.0329 0.7969
N 0.7500 0.4671 0.2969
CELL_PARAMETERS angstrom
3.9272 0.0000 0.0000
0.0000 12.5386 0.0000
0.0000 0.0000 13.1875
! E above lowest polymorph: 16.5 meV per atom
! E_form (uncorrected): -1.845 eV per atom
! Electronic total energy: -6.4895 eV/atom


[4]
! BaNpCuS3 (PBE, optimized geometry); values from VASP
&SYSTEM
  ibrav = 0, nat = 12, ntyp = 4
/
ATOMIC_SPECIES
Ba 137.33 Ba.upf
Np 237.00 Np.upf
Cu 63.55 Cu.upf
S 32.06 S.upf
ATOMIC_POSITIONS crystal
Ba 0.2500 0.1920 0.2391
Ba 0.7500 0.8080 0.7609
Np 0.2500 0.6709 0.1601
Np 0.7500 0.3291 0.8399
Cu 0.2500 0.0821 0.5920
Cu 0.7500 0.9179 0.4080
S 0.7500 0.8867 0.1398
S 0.2500 0.1133 0.8602
S 0.2500 0.7965 0.4770
S 0.7500 0.2035 0.5230
S 0.7500 0.4492 0.1606
S 0.2500 0.5508 0.8394
CELL_PARAMETERS angstrom
4.0310 0.0000 0.0000
0.0000 8.5906 -0.0565
0.0000 -2.3201 8.6057
! E_form (uncorrected): -1.359 eV per atom
! Density of states at the Fermi level: 20.20 states/eV/cell
! Electronic total energy: -6.5822 eV/atom